(1)
# ScReMo14 | the Alexandria database | PBE | optimized geometry
# theoretical density	10.3	Mg/m³
# formation energy from the elements	-0.02	eV per atom
# symmetry	Cmmm, No. 65
# final energy	-0.7840	Ry per atom
data_ScReMo14
_chemical_formula_sum 'Sc1 Re1 Mo14'
_symmetry_space_group_name_H-M 'P 1'
_symmetry_Int_Tables_number 1
_cell_length_a 5.492
_cell_length_b 5.492
_cell_length_c 8.962
_cell_angle_alpha 90.00
_cell_angle_beta 90.00
_cell_angle_gamma 109.48
loop_
_symmetry_equiv_pos_as_xyz
'x,y,z'
loop_
_atom_site_label
_atom_site_fract_x
_atom_site_fract_y
_atom_site_fract_z
Sc1 0.625 0.375 0.500
Re1 0.125 0.875 0.500
Mo1 0.125 0.875 0.000
Mo2 0.625 0.375 0.000
Mo3 0.125 0.375 0.500
Mo4 0.125 0.375 0.000
Mo5 0.625 0.875 0.500
Mo6 0.625 0.875 0.000
Mo7 0.373 0.123 0.754
Mo8 0.373 0.123 0.246
Mo9 0.877 0.627 0.754
Mo10 0.877 0.627 0.246
Mo11 0.375 0.625 0.749
Mo12 0.375 0.625 0.251
Mo13 0.875 0.125 0.749
Mo14 0.875 0.125 0.251

(2)
# BaZr2Co | the Alexandria database | PBE | optimized geometry
# theoretical density	7.3	Mg/m³
# formation energy from the elements	0.73	eV per atom
# polymorph energy (0 for the lowest one)	2.28	eV/f.u.
# symmetry	Fm-3m, No. 225
# final energy	-0.4263	Ry per atom
data_BaZr2Co
_chemical_formula_sum 'Ba1 Zr2 Co1'
_symmetry_space_group_name_H-M 'P 1'
_symmetry_Int_Tables_number 1
_cell_length_a 4.960
_cell_length_b 4.960
_cell_length_c 4.960
_cell_angle_alpha 60.00
_cell_angle_beta 60.00
_cell_angle_gamma 60.00
loop_
_symmetry_equiv_pos_as_xyz
'x,y,z'
loop_
_atom_site_label
_atom_site_fract_x
_atom_site_fract_y
_atom_site_fract_z
Co1 0.000 0.000 0.000
Ba1 0.500 0.500 0.500
Zr1 0.250 0.250 0.250
Zr2 0.750 0.750 0.750

(3)
# HoTmGa2Cu2 | the Alexandria database | PBE | optimized geometry
# theoretical density	8.8	Mg/m³
# formation energy from the elements	-0.51	eV per atom
# symmetry	P-3m1, No. 164
# final energy	-0.3227	Ry per atom
data_HoTmGa2Cu2
_chemical_formula_sum 'Ho1 Tm1 Ga2 Cu2'
_symmetry_space_group_name_H-M 'P 1'
_symmetry_Int_Tables_number 1
_cell_length_a 4.340
_cell_length_b 4.340
_cell_length_c 6.962
_cell_angle_alpha 90.00
_cell_angle_beta 90.00
_cell_angle_gamma 120.00
loop_
_symmetry_equiv_pos_as_xyz
'x,y,z'
loop_
_atom_site_label
_atom_site_fract_x
_atom_site_fract_y
_atom_site_fract_z
Ho1 0.000 0.000 0.500
Tm1 0.000 0.000 0.000
Ga1 0.333 0.667 0.246
Ga2 0.667 0.333 0.754
Cu1 0.333 0.667 0.757
Cu2 0.667 0.333 0.243

(4)
# Tl2Cd2Pb3 | the Alexandria database | PBE | optimized geometry
# theoretical density	9.9	Mg/m³
# formation energy from the elements	0.06	eV per atom
# symmetry	C2/m, No. 12
# final energy	-0.1813	Ry per atom
data_Tl2Cd2Pb3
_chemical_formula_sum 'Tl2 Cd2 Pb3'
_symmetry_space_group_name_H-M 'P 1'
_symmetry_Int_Tables_number 1
_cell_length_a 3.527
_cell_length_b 7.420
_cell_length_c 9.194
_cell_angle_alpha 63.28
_cell_angle_beta 101.06
_cell_angle_gamma 90.00
loop_
_symmetry_equiv_pos_as_xyz
'x,y,z'
loop_
_atom_site_label
_atom_site_fract_x
_atom_site_fract_y
_atom_site_fract_z
Tl1 0.422 0.232 0.844
Tl2 0.578 0.768 0.156
Cd1 0.218 0.381 0.435
Cd2 0.782 0.619 0.565
Pb1 0.000 0.500 0.000
Pb2 0.655 0.106 0.309
Pb3 0.345 0.894 0.691

(5)
# EuCdSbPb | the Alexandria database | PBE | optimized geometry
# theoretical density	8.3	Mg/m³
# symmetry	F-43m, No. 216
# final energy	-0.3749	Ry per atom
data_EuCdSbPb
_chemical_formula_sum 'Eu1 Cd1 Sb1 Pb1'
_symmetry_space_group_name_H-M 'P 1'
_symmetry_Int_Tables_number 1
_cell_length_a 5.513
_cell_length_b 5.513
_cell_length_c 5.513
_cell_angle_alpha 60.00
_cell_angle_beta 60.00
_cell_angle_gamma 60.00
loop_
_symmetry_equiv_pos_as_xyz
'x,y,z'
loop_
_atom_site_label
_atom_site_fract_x
_atom_site_fract_y
_atom_site_fract_z
Pb1 0.500 0.500 0.500
Eu1 0.000 0.000 0.000
Cd1 0.750 0.750 0.750
Sb1 0.250 0.250 0.250

(6)
# CsNp2CuO8 | the Alexandria database | PBE | optimized geometry
# theoretical density	5.8	Mg/m³
# symmetry	P-1, No. 2
# final energy	-0.5856	Ry per atom
data_CsNp2CuO8
_chemical_formula_sum 'Cs1 Np2 Cu1 O8'
_symmetry_space_group_name_H-M 'P 1'
_symmetry_Int_Tables_number 1
_cell_length_a 5.597
_cell_length_b 6.022
_cell_length_c 6.974
_cell_angle_alpha 99.78
_cell_angle_beta 83.93
_cell_angle_gamma 84.18
loop_
_symmetry_equiv_pos_as_xyz
'x,y,z'
loop_
_atom_site_label
_atom_site_fract_x
_atom_site_fract_y
_atom_site_fract_z
Cs1 0.000 0.000 0.500
Np1 0.484 0.549 0.760
Np2 0.516 0.451 0.240
Cu1 0.000 0.000 0.000
O1 0.197 0.578 0.282
O2 0.600 0.671 0.076
O3 0.815 0.243 0.156
O4 0.803 0.422 0.718
O5 0.400 0.329 0.924
O6 0.185 0.757 0.844
O7 0.557 0.705 0.541
O8 0.443 0.295 0.459

(7)
# LaLuZnTc | the Alexandria database | PBE | optimized geometry
# theoretical density	9.0	Mg/m³
# formation energy from the elements	-0.09	eV per atom
# symmetry	F-43m, No. 216
# final energy	-0.3939	Ry per atom
data_LaLuZnTc
_chemical_formula_sum 'La1 Lu1 Zn1 Tc1'
_symmetry_space_group_name_H-M 'P 1'
_symmetry_Int_Tables_number 1
_cell_length_a 4.998
_cell_length_b 4.998
_cell_length_c 4.998
_cell_angle_alpha 60.00
_cell_angle_beta 60.00
_cell_angle_gamma 60.00
loop_
_symmetry_equiv_pos_as_xyz
'x,y,z'
loop_
_atom_site_label
_atom_site_fract_x
_atom_site_fract_y
_atom_site_fract_z
Zn1 0.500 0.500 0.500
Lu1 0.250 0.250 0.250
Tc1 0.000 0.000 0.000
La1 0.750 0.750 0.750

(8)
# TlFe2As | the Alexandria database | PBE | optimized geometry
# theoretical density	9.9	Mg/m³
# formation energy from the elements	0.54	eV per atom
# polymorph energy (0 for the lowest one)	1.38	eV/f.u.
# symmetry	I-4m2, No. 119
# final energy	-0.4002	Ry per atom
data_TlFe2As
_chemical_formula_sum 'Tl1 Fe2 As1'
_symmetry_space_group_name_H-M 'P 1'
_symmetry_Int_Tables_number 1
_cell_length_a 5.195
_cell_length_b 5.195
_cell_length_c 5.195
_cell_angle_alpha 136.39
_cell_angle_beta 136.39
_cell_angle_gamma 63.37
loop_
_symmetry_equiv_pos_as_xyz
'x,y,z'
loop_
_atom_site_label
_atom_site_fract_x
_atom_site_fract_y
_atom_site_fract_z
As1 0.750 0.250 0.500
Fe1 0.000 0.000 0.000
Fe2 0.250 0.750 0.500
Tl1 0.500 0.500 0.000

(9)
# LiHoPuGe | the Alexandria database | PBE | optimized geometry
# theoretical density	9.0	Mg/m³
# formation energy from the elements	-0.23	eV per atom
# symmetry	F-43m, No. 216
# final energy	-0.4842	Ry per atom
data_LiHoPuGe
_chemical_formula_sum 'Li1 Ho1 Pu1 Ge1'
_symmetry_space_group_name_H-M 'P 1'
_symmetry_Int_Tables_number 1
_cell_length_a 5.040
_cell_length_b 5.040
_cell_length_c 5.040
_cell_angle_alpha 60.00
_cell_angle_beta 60.00
_cell_angle_gamma 60.00
loop_
_symmetry_equiv_pos_as_xyz
'x,y,z'
loop_
_atom_site_label
_atom_site_fract_x
_atom_site_fract_y
_atom_site_fract_z
Ge1 0.250 0.250 0.250
Li1 0.750 0.750 0.750
Ho1 0.500 0.500 0.500
Pu1 0.000 0.000 0.000

(10)
# Be2NiAg | the Alexandria database | PBE | optimized geometry
# theoretical density	7.0	Mg/m³
# formation energy from the elements	-0.04	eV per atom
# polymorph energy (0 for the lowest one)	0.37	eV/f.u.
# symmetry	Fm-3m, No. 225
# final energy	-0.2988	Ry per atom
data_Be2NiAg
_chemical_formula_sum 'Be2 Ni1 Ag1'
_symmetry_space_group_name_H-M 'P 1'
_symmetry_Int_Tables_number 1
_cell_length_a 3.951
_cell_length_b 3.951
_cell_length_c 3.951
_cell_angle_alpha 60.00
_cell_angle_beta 60.00
_cell_angle_gamma 60.00
loop_
_symmetry_equiv_pos_as_xyz
'x,y,z'
loop_
_atom_site_label
_atom_site_fract_x
_atom_site_fract_y
_atom_site_fract_z
Ni1 0.000 0.000 0.000
Ag1 0.500 0.500 0.500
Be1 0.250 0.250 0.250
Be2 0.750 0.750 0.750

(11)
# Ce8Sb2Ru3 | the Alexandria database | PBE | optimized geometry
# theoretical density	8.1	Mg/m³
# symmetry	C2/m, No. 12
# final energy	-0.4958	Ry per atom
data_Ce8Sb2Ru3
_chemical_formula_sum 'Ce8 Sb2 Ru3'
_symmetry_space_group_name_H-M 'P 1'
_symmetry_Int_Tables_number 1
_cell_length_a 6.060
_cell_length_b 6.688
_cell_length_c 9.059
_cell_angle_alpha 111.66
_cell_angle_beta 91.74
_cell_angle_gamma 90.00
loop_
_symmetry_equiv_pos_as_xyz
'x,y,z'
loop_
_atom_site_label
_atom_site_fract_x
_atom_site_fract_y
_atom_site_fract_z
Ce1 0.873 0.582 0.164
Ce2 0.127 0.418 0.836
Ce3 0.838 0.168 0.337
Ce4 0.162 0.832 0.663
Ce5 0.613 0.614 0.795
Ce6 0.613 0.181 0.795
Ce7 0.387 0.819 0.205
Ce8 0.387 0.386 0.205
Sb1 0.326 0.251 0.503
Sb2 0.674 0.749 0.497
Ru1 0.500 0.000 0.000
Ru2 0.000 0.198 0.000
Ru3 0.000 0.802 0.000

(12)
# Sr2PrSb3Rh4 | the Alexandria database | PBE | optimized geometry
# theoretical density	7.7	Mg/m³
# symmetry	P-4m2, No. 115
# final energy	-0.4215	Ry per atom
data_Sr2PrSb3Rh4
_chemical_formula_sum 'Sr2 Pr1 Sb3 Rh4'
_symmetry_space_group_name_H-M 'P 1'
_symmetry_Int_Tables_number 1
_cell_length_a 4.563
_cell_length_b 4.563
_cell_length_c 11.320
_cell_angle_alpha 90.00
_cell_angle_beta 90.00
_cell_angle_gamma 90.00
loop_
_symmetry_equiv_pos_as_xyz
'x,y,z'
loop_
_atom_site_label
_atom_site_fract_x
_atom_site_fract_y
_atom_site_fract_z
Sr1 0.500 0.000 0.230
Sr2 0.000 0.500 0.770
Pr1 0.500 0.500 0.500
Sb1 0.000 0.000 0.500
Sb2 0.500 0.000 0.877
Sb3 0.000 0.500 0.123
Rh1 0.500 0.500 0.000
Rh2 0.000 0.000 0.000
Rh3 0.500 0.000 0.648
Rh4 0.000 0.500 0.352